Material: Li2FeAg
Method: DFT, GGA-PBE
State: optimized geometry

Results
- Energy relative to the elements: 157 meV per atom
- Density of states at the Fermi level: 3.6 states/eV/f.u.

Structure (CIF):
```
data_Li2FeAg
_chemical_formula_sum 'Li2 Fe1 Ag1'
_cell_length_a 2.6965
_cell_length_b 2.6965
_cell_length_c 8.1409
_cell_angle_alpha 90.00
_cell_angle_beta 90.00
_cell_angle_gamma 90.00
_space_group_name_H-M_alt 'P 4/m m m'
_space_group_IT_number 123
_space_group_name_Hall '-P 4 2'
loop_
_atom_site_label
_atom_site_fract_x
_atom_site_fract_y
_atom_site_fract_z
Li1 0.0000 0.0000 0.2440
Fe1 0.5000 0.5000 0.0000
Ag1 0.5000 0.5000 0.5000
```

***

Material: Li2FeAg
Method: DFT, GGA-PBE
State: optimized geometry

Results
- Energy relative to the elements: 145 meV per atom
- Density of states at the Fermi level: 2.8 states/eV/f.u.

Structure (CIF):
```
data_Li2FeAg
_chemical_formula_sum 'Li4 Fe2 Ag2'
_cell_length_a 2.9530
_cell_length_b 4.4477
_cell_length_c 9.0694
_cell_angle_alpha 90.00
_cell_angle_beta 90.00
_cell_angle_gamma 90.00
_space_group_name_H-M_alt 'C m m m'
_space_group_IT_number 65
_space_group_name_Hall '-C 2 2'
loop_
_atom_site_label
_atom_site_fract_x
_atom_site_fract_y
_atom_site_fract_z
Li1 0.0000 0.0000 0.2404
Fe1 0.0000 0.5000 0.0000
Ag1 0.0000 0.5000 0.5000
```

***

> The highest energy relative to the elements belongs to which entry?

number 1